Run a
Compound: PmYScIn
Source: Alexandria
Functional: PBE
Structure: optimized geometry

The structure belongs to space group F-43m (No. 216); the cell edges are 7.638, 7.638 and 7.638 Å and the angles 90.00°, 90.00° and 90.00°. The distinct sites, in fractional coordinates, are Pm at (0.000, 0.000, 0.000), Y at (0.000, 0.000, 0.500), Sc at (0.250, 0.250, 0.750) and In at (0.250, 0.250, 0.250).

The value obtained for the total moment is 4.72 Bohr magnetons per cell. As for the density of states at the Fermi level: 20.263 states/eV/cell.

=====

Run b
Compound: PmYScIn
Source: Alexandria
Functional: PBE
Structure: optimized geometry

The structure belongs to space group Pmmm (No. 47); the cell edges are 4.765, 4.783 and 4.820 Å and the angles 90.00°, 90.00° and 90.00°. The distinct sites, in fractional coordinates, are Pm at (0.000, 0.000, 0.000), Y at (0.500, 0.000, 0.500), Sc at (0.500, 0.500, 0.000) and In at (0.000, 0.500, 0.500).

The value obtained for the total moment is 0.34 Bohr magnetons per cell. As for the density of states at the Fermi level: 5.827 states/eV/cell.

=====

Relative energies, in eV/atom, with the most stable structure set to zero: run a 0.083; run b 0.000.